(1)
Density functional theory data (PBE) for a relaxed KNp2NO5 crystal.

Unit cell a=4.219 b=4.219 c=8.298 alpha=90.00 beta=90.00 gamma=90.00
Last column: magnetic moment on the atom in μB.
Sites, in units of the cell vectors:
O: 0.000 0.500 0.743  -0.06
O: 0.000 0.500 0.257  -0.06
O: 0.000 0.000 0.500  -0.05
O: 0.500 0.000 0.743  -0.06
O: 0.500 0.000 0.257  -0.06
K: 0.500 0.500 0.500  0.00
N: 0.000 0.000 0.000  -0.11
Np: 0.000 0.000 0.758  1.21
Np: 0.000 0.000 0.242  1.21

***

(2)
Density functional theory data (PBE) for a relaxed LiTl2InI4 crystal.

Unit cell a=9.674 b=9.674 c=9.778 alpha=120.37 beta=120.37 gamma=89.76
Sites, in units of the cell vectors:
Tl: 0.500 0.000 0.000
Tl: 0.500 0.500 0.000
Tl: 0.500 0.000 0.500
Tl: 0.000 0.000 0.500
I: 0.732 0.273 0.502
I: 0.227 0.768 0.998
I: 0.752 0.749 0.527
I: 0.248 0.251 0.473
I: 0.268 0.727 0.498
I: 0.249 0.252 0.027
I: 0.773 0.232 0.002
I: 0.751 0.748 0.973
Li: 0.000 0.000 0.000
Li: 0.500 0.500 0.500
In: 0.000 0.500 0.000
In: 0.000 0.500 0.500

***

Number 1: spin magnetization 2.000 Bohr magnetons per cell, calculated total energy -80.70 eV/cell. Number 2: spin magnetization 0.000 Bohr magnetons per cell, calculated total energy -42.49 eV/cell.